Record 1
Below is a geometry-optimized Cs2InP2S6 structure, with properties calculated at the GGA-PBE level.

E_form (uncorrected)	-0.616	eV per atom

CIF file:
```
data_Cs2InP2S6
_chemical_formula_sum 'Cs2 In1 P2 S6'
_cell_length_a 7.295
_cell_length_b 7.295
_cell_length_c 7.998
_cell_angle_alpha 114.33
_cell_angle_beta 114.33
_cell_angle_gamma 58.36
_symmetry_space_group_name_H-M 'P 1'
_symmetry_Int_Tables_number 1
loop_
_symmetry_equiv_pos_as_xyz
'x,y,z'
loop_
_atom_site_label
_atom_site_fract_x
_atom_site_fract_y
_atom_site_fract_z
Cs1 0.224 0.224 0.219
Cs2 0.776 0.776 0.781
In1 0.000 0.000 0.500
P1 0.458 0.458 0.829
P2 0.542 0.542 0.171
S1 0.227 0.711 0.211
S2 0.280 0.280 0.721
S3 0.289 0.773 0.789
S4 0.711 0.227 0.211
S5 0.720 0.720 0.279
S6 0.773 0.289 0.789
```


Record 2
Below is a geometry-optimized Mg3P2Pd7 structure, with properties calculated at the GGA-PBE level.

calculated formation energy	-6.937	eV per formula unit

CIF file:
```
data_Mg3P2Pd7
_chemical_formula_sum 'Mg3 P2 Pd7'
_cell_length_a 13.046
_cell_length_b 13.046
_cell_length_c 3.856
_cell_angle_alpha 90.00
_cell_angle_beta 90.00
_cell_angle_gamma 162.21
_symmetry_space_group_name_H-M 'P 1'
_symmetry_Int_Tables_number 1
loop_
_symmetry_equiv_pos_as_xyz
'x,y,z'
loop_
_atom_site_label
_atom_site_fract_x
_atom_site_fract_y
_atom_site_fract_z
Mg1 0.000 0.000 0.000
Mg2 0.191 0.809 0.000
Mg3 0.809 0.191 0.000
P1 0.371 0.629 0.500
P2 0.629 0.371 0.500
Pd1 0.082 0.918 0.500
Pd2 0.283 0.717 0.500
Pd3 0.420 0.580 0.000
Pd4 0.500 0.500 0.500
Pd5 0.580 0.420 0.000
Pd6 0.717 0.283 0.500
Pd7 0.918 0.082 0.500
```


Number 1: uncorrected energy -4.255 eV per atom. Number 2: uncorrected energy -4.908 eV per atom.